Sc2ZnRe | Alexandria | PBE | optimized geometry; ΔH_f (0 K) = 0.13 eV/atom; Fermi-level density of states = 4.21 states/eV per cell; calculated total energy = -6.4711 eV/atom
1.0
2.925 0.000 0.000
0.000 2.925 0.000
0.000 0.000 8.638
Sc Zn Re
2 1 1
direct
0.000 0.000 0.000
0.500 0.500 0.324
0.000 0.000 0.558
0.500 0.500 0.764